# 1
DFT (GGA-PBE) results for a geometry-optimized BaZnCr2Os structure.

```
BaZnCr2Os
1.0
4.690 0.000 0.000
0.000 4.799 0.000
0.000 0.000 4.690
Cr Zn Ba Os
2 1 1 1
Direct
0.000 0.000 0.500 Cr
0.500 0.000 0.000 Cr
0.000 0.000 0.000 Zn
0.500 0.500 0.500 Ba
0.000 0.500 0.000 Os
```

Output
formation energy from the elements = 39.2 kcal/mol of atoms
N(E_F) = 1.76 states/eV per atom

# 2
DFT (GGA-PBE) results for a geometry-optimized Ba2CrP structure.

```
Ba2CrP
1.0
-1.768 5.804 2.071
-6.246 0.882 1.146
4.448 -4.342 1.568
Ba Cr P
2 1 1
Direct
0.000 0.000 0.000 Ba
0.250 0.750 0.500 Ba
0.500 0.500 0.000 Cr
0.750 0.250 0.500 P
```

Output
formation energy from the elements = 3.3 kcal/mol of atoms
N(E_F) = 0.42 states/eV per atom

# 3
DFT (GGA-PBE) results for a geometry-optimized BaCrP2 structure.

```
BaCrP2
1.0
5.427 0.000 0.000
0.000 5.427 0.000
2.713 2.713 6.693
P Cr Ba
4 2 2
Direct
0.375 0.125 0.250 P
0.375 0.625 0.250 P
0.375 0.625 0.750 P
0.875 0.625 0.750 P
0.500 0.500 0.000 Cr
0.250 0.750 0.500 Cr
0.000 0.000 0.000 Ba
0.750 0.250 0.500 Ba
```

Output
relative energy among the computed polymorphs = 0.000 eV per atom
formation energy from the elements = -13.8 kcal/mol of atoms
N(E_F) = 0.03 states/eV per atom

# 4
DFT (GGA-PBE) results for a geometry-optimized Ba2CrP structure.

```
Ba2CrP
1.0
8.239 0.036 -0.167
7.122 4.143 -0.167
1.383 0.376 4.393
Cr P Ba
1 1 2
Direct
0.588 0.588 0.411 Cr
0.163 0.163 0.338 P
0.001 0.001 0.999 Ba
0.748 0.748 0.752 Ba
```

Output
formation energy from the elements = -4.1 kcal/mol of atoms
N(E_F) = 1.06 states/eV per atom